Here is crystalline Hf2ThBe6 at its relaxed geometry from the Alexandria database. Energies are from GGA-PBE.

The structure in POSCAR format:
```
Hf2ThBe6
1.0
3.259 0.246 -0.172
-0.619 5.914 -3.275
0.364 -0.104 6.779
Th Hf Be
1 2 6
direct
0.000 0.000 0.000 Th
0.000 0.667 0.333 Hf
0.000 0.333 0.667 Hf
0.500 0.346 0.000 Be
0.500 0.346 0.346 Be
0.500 0.000 0.346 Be
0.500 0.000 0.654 Be
0.500 0.654 0.000 Be
0.500 0.654 0.654 Be
```

Values from the calculation:
density: 8173 kg/m³
energy relative to the elements: -1 kJ per mole of atoms
SG: No. 191
M_tot: 0.000 μB per atom